# SmLuCuRh

A geometry-optimized SmLuCuRh structure (PBE, the Alexandria database).

Unit cell a=4.886 b=4.886 c=4.886 alpha=60.00 beta=60.00 gamma=60.00
Sites, in units of the cell vectors:
Cu1 0.250 0.250 0.250
Lu1 0.000 0.000 0.000
Rh1 0.750 0.750 0.750
Sm1 0.500 0.500 0.500

Summary:
- Energy of formation from the pure elements: -52.4 kJ per mole of atoms

# LuCuSnRh

A geometry-optimized LuCuSnRh structure (PBE, the Alexandria database).

Unit cell a=4.659 b=4.659 c=4.659 alpha=60.00 beta=60.00 gamma=60.00
Sites, in units of the cell vectors:
Rh1 0.000 0.000 0.000
Lu1 0.750 0.750 0.750
Sn1 0.250 0.250 0.250
Cu1 0.500 0.500 0.500

Summary:
- Energy of formation from the pure elements: -53.8 kJ per mole of atoms

# LuThCuRh

A geometry-optimized LuThCuRh structure (PBE, the Alexandria database).

Unit cell a=4.943 b=4.943 c=4.943 alpha=60.00 beta=60.00 gamma=60.00
Sites, in units of the cell vectors:
Rh1 0.750 0.750 0.750
Th1 0.500 0.500 0.500
Lu1 0.000 0.000 0.000
Cu1 0.250 0.250 0.250

Summary:
- Energy of formation from the pure elements: -51.3 kJ per mole of atoms

> Look up the energy of formation from the pure elements of the second one.

-53.8 kJ per mole of atoms